No. 1
Ca3Tl8 | PBE | optimized geometry

Raw total energy   -54.9 eV/cell
Size of the total moment   0.00 μB per formula unit

Unit cell a=11.117 b=4.787 c=12.512 alpha=90.00 beta=103.82 gamma=90.00
Space group C2/m (No. 12)
Asymmetric unit:
Ca 0.000 0.000 0.000 x2
Ca 0.097 0.000 0.648 x4
Tl 0.048 0.500 0.821 x4
Tl 0.137 0.500 0.456 x4
Tl 0.180 0.000 0.272 x4
Tl 0.225 0.500 0.086 x4

No. 2
CaTl | PBE | optimized geometry

Raw total energy   -19.0 eV/cell
Size of the total moment   0.00 μB per formula unit

Unit cell a=6.382 b=6.382 c=6.509 alpha=90.00 beta=90.00 gamma=90.00
Space group P4_2/mnm (No. 136)
Asymmetric unit:
Ca 0.200 0.200 0.000 x4
Tl 0.189 0.189 0.500 x4

No. 3
Ca3Tl2 | PBE | optimized geometry

Energy above the most stable polymorph in this dataset   0.062 eV/atom
Raw total energy   -12.3 eV/cell
Size of the total moment   0.00 μB per formula unit

Unit cell a=5.4100 b=5.4100 c=6.6727 alpha=90.00 beta=90.00 gamma=120.00
Space group P-3m1 (No. 164)
Asymmetric unit:
Ca 0.0000 0.0000 0.0000 x1
Ca 0.3333 0.6667 0.3379 x2
Tl 0.3333 0.6667 0.8367 x2

No. 4
Ca3Tl2 | PBE | optimized geometry

Energy above the most stable polymorph in this dataset   0.000 eV/atom
Raw total energy   -25.2 eV/cell
Size of the total moment   0.00 μB per formula unit

Unit cell a=8.916 b=8.916 c=4.053 alpha=90.00 beta=90.00 gamma=90.00
Space group P4/mbm (No. 127)
Asymmetric unit:
Ca 0.000 0.000 0.000 x2
Ca 0.163 0.337 0.500 x4
Tl 0.136 0.636 0.000 x4

No. 5
Ca3Tl | PBE | optimized geometry

Raw total energy   -18.5 eV/cell
Size of the total moment   0.00 μB per formula unit

Unit cell a=7.3450 b=7.3450 c=5.6708 alpha=90.00 beta=90.00 gamma=120.00
Space group P6_3/mmc (No. 194)
Asymmetric unit:
Ca 0.1743 0.3487 0.2500 x6
Tl 0.3333 0.6667 0.7500 x2

No. 6
CaTl | PBE | optimized geometry

Raw total energy   -21.1 eV/cell
Size of the total moment   0.00 μB per formula unit

Unit cell a=8.894 b=8.894 c=8.894 alpha=90.00 beta=90.00 gamma=90.00
Space group Pm-3n (No. 223)
Asymmetric unit:
Ca 0.000 0.250 0.500 x6
Tl 0.000 0.500 0.250 x6

No. 7
CaTl | PBE | optimized geometry

Raw total energy   -36.8 eV/cell
Size of the total moment   0.00 μB per formula unit

Unit cell a=12.148 b=12.148 c=3.738 alpha=90.00 beta=90.00 gamma=90.00
Space group I4/m (No. 87)
Asymmetric unit:
Ca 0.128 0.658 0.000 x8
Tl 0.073 0.164 0.000 x8

No. 8
CaTl | PBE | optimized geometry

Raw total energy   -27.5 eV/cell
Size of the total moment   0.00 μB per formula unit

Unit cell a=3.8309 b=3.8309 c=32.3475 alpha=90.00 beta=90.00 gamma=120.00
Space group R-3m (No. 166, hexagonal axes)
Asymmetric unit:
Ca 0.0000 0.0000 0.1170 x6
Tl 0.0000 0.0000 0.3708 x6

No. 9
Ca2Tl5 | PBE | optimized geometry

Raw total energy   -34.9 eV/cell
Size of the total moment   0.00 μB per formula unit

Unit cell a=11.061 b=4.766 c=7.873 alpha=90.00 beta=96.36 gamma=90.00
Space group C2/m (No. 12)
Asymmetric unit:
Ca 0.076 0.000 0.232 x4
Tl 0.000 0.500 0.500 x2
Tl 0.142 0.500 0.931 x4
Tl 0.212 0.000 0.649 x4

No. 10
Ca4Tl3 | PBE | optimized geometry

Energy above the most stable polymorph in this dataset   0.038 eV/atom
Raw total energy   -52.6 eV/cell
Size of the total moment   0.00 μB per formula unit

Unit cell a=5.4352 b=5.4352 c=26.7731 alpha=90.00 beta=90.00 gamma=120.00
Space group R-3m (No. 166, hexagonal axes)
Asymmetric unit:
Ca 0.0000 0.0000 0.1232 x6
Ca 0.0000 0.0000 0.3739 x6
Tl 0.0000 0.0000 0.2501 x6
Tl 0.0000 0.0000 0.5000 x3

No. 11
CaTl | PBE | optimized geometry

Raw total energy   -19.9 eV/cell
Size of the total moment   0.00 μB per formula unit

Unit cell a=6.298 b=6.298 c=6.298 alpha=90.00 beta=90.00 gamma=90.00
Space group P2_13 (No. 198)
Asymmetric unit:
Ca 0.088 0.412 0.588 x4
Tl 0.095 0.905 0.405 x4

No. 12
CaTl2 | PBE | optimized geometry

Raw total energy   -30.4 eV/cell
Size of the total moment   0.00 μB per formula unit

Unit cell a=6.808 b=5.077 c=10.149 alpha=90.00 beta=90.00 gamma=90.00
Space group Pnma (No. 62)
Asymmetric unit:
Ca 0.159 0.250 0.094 x4
Tl 0.063 0.250 0.745 x4
Tl 0.155 0.250 0.424 x4